The following is a DFT calculation (PBE-GGA) of a geometry-optimized RbHoF4 structure.

The structure in POSCAR format:
```
RbHoF4
1.0
5.9794 0.1266 0.0000
-1.3853 6.8896 0.0000
-2.2970 -3.5081 5.7379
Rb Ho F
2 2 8
Cartesian
0.8022 3.4765 1.6784
1.4948 0.0316 4.0595
-2.1875 3.4132 5.5505
4.4845 0.0950 0.1874
3.5843 -1.7378 5.1533
2.1955 2.8960 4.1086
-0.5946 1.8011 5.1533
-0.5912 4.0569 4.1086
2.8882 -0.5488 1.6293
2.8917 1.7070 0.5846
0.1015 0.6121 1.6293
-1.2873 5.2460 0.5846
```

Output
The energy relative to the elements, uncorrected comes out at -3.563 eV per atom.

=====

The following is a DFT calculation (PBE-GGA) of a geometry-optimized Rb5Ho2F12 structure.

The structure in POSCAR format:
```
Rb5Ho2F12
1.0
-5.5984 -0.9891 3.8226
-4.3822 -3.7240 -5.6292
0.0947 -8.0445 -0.1904
Rb Ho F
5 2 12
Cartesian
-1.2157 -2.8604 -1.2716
-4.4778 -4.7609 -0.0962
-2.7992 -0.4945 1.9113
-5.4082 -7.9966 -1.9008
-8.6703 -9.8972 -0.7254
-3.1925 -4.8722 -4.1838
-1.0951 -6.8963 -1.6358
-5.2056 -1.5768 3.0324
-1.8159 -5.3849 -0.1867
-3.6673 -3.5981 -2.4359
-4.7643 -6.7754 2.2231
-7.3912 -4.2402 -0.9682
-6.7056 -6.2930 0.5206
-3.1803 -6.4646 -2.5176
-5.1216 -5.9822 -4.2201
-2.4948 -8.5173 -1.0288
-8.0701 -7.3726 -1.8103
-6.2187 -9.1594 0.4389
-4.6804 -11.1807 -5.0294
```

Output
The energy relative to the elements, uncorrected comes out at -3.174 eV per atom.

=====

The following is a DFT calculation (PBE-GGA) of a geometry-optimized Rb2HoF4 structure.

The structure in POSCAR format:
```
Rb2HoF4
1.0
-3.6449 0.6489 2.3039
-0.7825 -4.2897 -0.0297
3.3110 -2.8909 10.1791
Ho Rb F
1 2 4
Cartesian
0.0000 0.0000 0.0000
-0.5690 -4.3884 8.5890
-0.5474 -2.1433 3.8643
-3.3134 -3.8566 4.0975
2.1970 -2.6750 8.3557
-0.3913 -2.1448 -0.0149
-1.8225 0.3245 1.1520
```

Output
The energy relative to the elements, uncorrected comes out at -3.125 eV per atom.

=====

The following is a DFT calculation (PBE-GGA) of a geometry-optimized RbHoF4 structure.

The structure in POSCAR format:
```
RbHoF4
1.0
-0.8582 -2.4845 -3.5242
-4.2234 -3.4561 3.4649
-6.1777 6.9176 -0.6301
Rb Ho F
2 2 8
Cartesian
-7.2426 0.9084 1.1232
-4.0167 0.0686 -1.8126
-4.2706 -1.6446 2.1993
-6.9887 2.6216 -2.8887
-4.4469 0.1167 1.0006
-6.8124 0.8603 -1.6900
-6.3664 -1.4540 2.5753
-4.8929 2.4310 -3.2647
-4.6715 -2.9110 0.4474
-6.5878 3.8880 -1.1368
-2.1117 -1.7280 1.7324
0.0000 0.0000 0.0000
```

Output
The energy relative to the elements, uncorrected comes out at -3.720 eV per atom.

=====

The following is a DFT calculation (PBE-GGA) of a geometry-optimized RbHoTl2F6 structure.

The structure in POSCAR format:
```
RbHoTl2F6
1.0
6.8871 0.0022 0.0007
3.4454 5.9632 0.0009
3.4464 1.9902 5.3257
Rb Ho Tl F
1 1 2 6
Cartesian
10.3337 5.9659 2.9395
3.4442 1.9886 0.2752
6.8906 3.9777 1.9141
3.4445 1.9887 3.9631
5.1805 1.8100 1.5924
5.8679 6.5427 1.6002
9.6219 3.5865 1.5920
7.9104 5.3898 4.2764
7.6020 2.3854 4.2819
5.1546 4.1540 4.2820
```

Output
The energy relative to the elements, uncorrected comes out at -2.932 eV per atom.

=====

The following is a DFT calculation (PBE-GGA) of a geometry-optimized RbHoTlF6 structure.

The structure in POSCAR format:
```
RbHoTlF6
1.0
6.3417 0.0000 0.0000
-3.1708 5.4920 0.0000
0.0000 0.0000 11.0571
Rb Ho Tl F
2 2 2 12
Cartesian
0.0000 0.0000 0.0000
0.0000 0.0000 5.5285
0.0000 3.6614 2.7643
3.1708 1.8307 8.2928
3.1708 1.8307 2.7643
0.0000 3.6614 8.2928
1.8423 3.5068 1.5910
-1.0550 2.1431 1.5910
2.3835 0.1579 7.1196
4.2258 3.3489 9.4661
1.0550 2.1431 3.9375
-1.8423 3.5068 3.9375
3.9582 0.1579 9.4661
0.7873 5.3341 3.9375
5.0132 1.9852 7.1196
-0.7873 5.3341 1.5910
2.1158 3.3489 7.1196
1.3285 1.9852 9.4661
```

Output
The energy relative to the elements, uncorrected comes out at -2.992 eV per atom.

=====

The following is a DFT calculation (PBE-GGA) of a geometry-optimized Rb2HoTlF6 structure.

The structure in POSCAR format:
```
Rb2HoTlF6
1.0
-6.5717 -0.6102 -0.7005
0.1090 -5.6507 3.8997
-1.3823 5.2999 7.7183
Rb Ho Tl F
4 2 2 12
Cartesian
-0.3368 -4.0546 5.6660
-4.3583 0.5932 7.5856
-7.5081 3.0936 5.2516
-3.4867 -1.5541 3.3319
-3.9770 2.3449 3.5089
0.0545 -2.8253 1.9498
-3.2859 -0.3051 -0.3502
-0.6366 -0.1754 5.8090
-1.7397 -3.7466 2.7825
-5.7004 -2.2479 6.8754
-6.1052 2.7856 8.1350
-2.1446 1.2870 4.0421
-2.7045 -2.0881 6.0106
-6.6796 0.1564 9.5887
-5.1405 1.1272 4.9070
-1.1654 -1.1174 1.3288
-6.1385 -2.5148 3.1930
-3.5005 -1.8055 8.9523
-1.7065 1.5538 7.7245
-4.3445 0.8445 1.9653
```

Output
The energy relative to the elements, uncorrected comes out at -3.141 eV per atom.

=====

no.,size of the total moment (μB/atom)
1,0.000
2,0.068
3,0.000
4,0.015
5,0.000
6,0.091
7,0.000